(1)
Here is SrY2P after structural relaxation from Alexandria via LeMat-Bulk. Energies are from PBE.

a = 6.4573 Å, b = 6.4573 Å, c = 3.6353 Å
α = 74.24°, β = 74.24°, γ = 117.36°
Atoms (fractional coordinates):
Sr1 0.5000 0.5000 0.5000
Y1 0.0000 0.5000 0.0000
Y2 0.5000 0.0000 0.0000
P1 0.0000 0.0000 0.5000

**Formation energy from the elements**: -0.023 eV/atom
**SG**: C2/m, No. 12



(2)
Here is Rb2CaMgSi after structural relaxation from Alexandria via LeMat-Bulk. Energies are from PBE.

a = 7.3985 Å, b = 5.3190 Å, c = 7.3985 Å
α = 90.00°, β = 90.00°, γ = 90.00°
Atoms (fractional coordinates):
Mg1 0.5000 0.5000 0.5000
Ca1 0.0000 0.0000 0.0000
Si1 0.0000 0.5000 0.0000
Rb1 0.0000 0.0000 0.5000
Rb2 0.5000 0.0000 0.0000

**Raw formation energy**: 298 kJ/mol of formula units
**SG**: P4/mmm, No. 123



(3)
Here is FePIr2 after structural relaxation from Alexandria via LeMat-Bulk. Energies are from PBE.

a = 5.0971 Å, b = 5.0971 Å, c = 4.2494 Å
α = 65.36°, β = 65.36°, γ = 32.00°
Each line ends with the local moment (μB).
Atoms (fractional coordinates):
Fe1 0.2100 0.2100 0.2940  2.20
Ir1 0.0005 0.0005 0.0002  0.18
Ir2 0.7867 0.7867 0.7171  0.24
P1 0.5027 0.5027 0.4887  -0.04

**Formation energy from the elements**: -0.086 eV/atom
**SG**: Cm, No. 8



(4)
Here is KLiAu after structural relaxation from Alexandria via LeMat-Bulk. Energies are from PBE.

a = 4.5147 Å, b = 4.5147 Å, c = 5.0059 Å
α = 90.00°, β = 90.00°, γ = 120.00°
Atoms (fractional coordinates):
Au1 0.0000 0.0000 0.8339
K1 0.6667 0.3333 0.3333
Li1 0.3333 0.6667 0.8328

**Formation energy from the elements**: -0.243 eV/atom
**SG**: P3m1, No. 156



Calculated theoretical density (g cm⁻³), listed in the same order as above: 4.288 1.502 14.846 4.567